{"formula": "La2Ag3Au4", "functional": "PBE-GGA", "state": "relaxed", "lattice_angstrom": [[5.2231, 0.0000, 1.9497], [2.6116, 4.7818, 0.9749], [0.0123, 0.0000, 7.9379]], "species": ["La", "La", "Ag", "Ag", "Ag", "Au", "Au", "Au", "Au"], "fractional_positions": [[0.6448, 0.0000, 0.7104], [0.3552, 0.0000, 0.2896], [0.0000, 0.5000, 0.0000], [0.0000, 0.0000, 0.0000], [0.5000, 0.5000, 0.0000], [0.9917, 0.6756, 0.3410], [0.6673, 0.3244, 0.3410], [0.0083, 0.3244, 0.6590], [0.3327, 0.6756, 0.6590]], "e_tot_ev_per_atom": -4.00, "ef_mev_per_atom": -499, "mass_density_g_cm3": 11.64}

{"formula": "La2Ag6Au3", "functional": "PBE-GGA", "state": "relaxed", "lattice_angstrom": [[-0.2891, 3.5932, -2.6326], [-6.8040, -2.8395, -3.1284], [-0.2292, 4.7195, 6.4667]], "species": ["La", "La", "Ag", "Ag", "Ag", "Ag", "Ag", "Ag", "Au", "Au", "Au"], "fractional_positions": [[0.0000, 0.6667, 0.3333], [0.0000, 0.3333, 0.6667], [0.5000, 0.7591, 0.7591], [0.5000, 0.0000, 0.2409], [0.0000, 0.2045, 0.2045], [0.0000, 0.7955, 0.0000], [0.5000, 0.2409, 0.0000], [0.0000, 0.0000, 0.7955], [0.5000, 0.4172, 0.4172], [0.5000, 0.5828, 0.0000], [0.5000, 0.0000, 0.5828]], "e_tot_ev_per_atom": -3.65, "ef_mev_per_atom": -304, "mass_density_g_cm3": 10.15}

{"formula": "LaAgAu2", "functional": "PBE-GGA", "state": "relaxed", "lattice_angstrom": [[3.7216, 0.0000, 0.0000], [0.0000, 3.7205, 0.0000], [0.0000, 0.0000, 6.5753]], "species": ["Au", "Au", "Ag", "La"], "fractional_positions": [[0.0000, 0.0000, 0.9910], [0.5000, 0.5000, 0.2274], [0.5000, 0.5000, 0.7952], [0.0000, 0.0000, 0.4864]], "e_tot_ev_per_atom": -3.98, "ef_mev_per_atom": -400, "e_above_lowest_polymorph_mev_per_atom": 188, "mass_density_g_cm3": 11.69}

{"formula": "La12AgAu6", "functional": "PBE-GGA", "state": "relaxed", "lattice_angstrom": [[-1.2058, 2.3323, -8.4664], [0.2531, -8.8115, -0.9316], [-8.3019, 0.9197, 2.9676]], "species": ["La", "La", "La", "La", "La", "La", "La", "La", "La", "La", "La", "La", "Ag", "Au", "Au", "Au", "Au", "Au", "Au"], "fractional_positions": [[0.8160, 0.5791, 0.4271], [0.4271, 0.8160, 0.5791], [0.5791, 0.4271, 0.8160], [0.1840, 0.4209, 0.5729], [0.5729, 0.1840, 0.4209], [0.4209, 0.5729, 0.1840], [0.0733, 0.9468, 0.3279], [0.0532, 0.6721, 0.9267], [0.6721, 0.9267, 0.0532], [0.9267, 0.0532, 0.6721], [0.9468, 0.3279, 0.0733], [0.3279, 0.0733, 0.9468], [0.0000, 0.0000, 0.0000], [0.6911, 0.8681, 0.3798], [0.6202, 0.3089, 0.1319], [0.1319, 0.6202, 0.3089], [0.3089, 0.1319, 0.6202], [0.3798, 0.6911, 0.8681], [0.8681, 0.3798, 0.6911]], "e_tot_ev_per_atom": -4.67, "ef_mev_per_atom": -375, "mass_density_g_cm3": 7.39}

{"formula": "LaAgAu2", "functional": "PBE-GGA", "state": "relaxed", "lattice_angstrom": [[-3.8328, -3.3095, 0.1140], [-3.9607, 0.8158, 3.0501], [-4.4941, 1.2607, -1.9672]], "species": ["Au", "Au", "Ag", "La"], "fractional_positions": [[0.2500, 0.2500, 0.2500], [0.7500, 0.7500, 0.7500], [0.0000, 0.0000, 0.0000], [0.5000, 0.5000, 0.5000]], "e_tot_ev_per_atom": -4.17, "ef_mev_per_atom": -587, "e_above_lowest_polymorph_mev_per_atom": 0, "mass_density_g_cm3": 11.58}

{"formula": "LaAg6Au6", "functional": "PBE-GGA", "state": "relaxed", "lattice_angstrom": [[5.6697, 0.0000, 0.0000], [2.8349, 6.7353, -0.0466], [2.8349, 0.1146, 6.7344]], "species": ["La", "Ag", "Ag", "Ag", "Ag", "Ag", "Ag", "Au", "Au", "Au", "Au", "Au", "Au"], "fractional_positions": [[0.0000, 0.0000, 0.0000], [0.0000, 0.5000, 0.0000], [0.5000, 0.5000, 0.0000], [0.0000, 0.0000, 0.5000], [0.5000, 0.0000, 0.5000], [0.5000, 0.7681, 0.2319], [0.5000, 0.2319, 0.7681], [0.3435, 0.6565, 0.6565], [0.6565, 0.3435, 0.3435], [0.0000, 0.3431, 0.6569], [0.0000, 0.6569, 0.3431], [0.3024, 0.1976, 0.1976], [0.6976, 0.8024, 0.8024]], "e_tot_ev_per_atom": -3.38, "ef_mev_per_atom": -173, "mass_density_g_cm3": 12.71}